Material: KNdHgCl6
Method: DFT, PBE-GGA
State: optimized geometry

Output
- crystal system = trigonal
- M_tot (μB/cell) = 0.0
- formation energy (no corrections) (eV/atom) = -1.64

extended XYZ file:
```
18
Lattice="-0.107 2.754 6.551 -3.775 -5.842 -1.461 10.813 -7.857 3.481" Properties=species:S:1:pos:R:3 pbc="T T T"
Cl -0.980 -3.038 3.674
Cl 6.854 -7.717 8.613
Cl 0.078 -3.228 -0.042
K 0.000 0.000 0.000
Cl 2.491 -4.010 3.128
K 5.407 -3.929 1.740
Nd 1.374 -2.075 4.751
Cl 5.391 -4.401 8.207
Cl 7.911 -7.907 4.897
Cl 9.255 -5.062 7.147
Cl 6.830 -4.002 4.638
Hg 0.151 -4.941 2.080
Cl 1.540 -6.544 0.364
Cl -2.324 -5.884 1.424
Cl 4.440 -6.935 5.443
Nd 5.558 -8.870 3.820
Cl 0.101 -6.943 3.933
Hg 6.780 -6.004 6.491
```